# 1
Pr3Zn2Au: optimized geometry, PBE-GGA.

a = 3.7459 Å, b = 3.7459 Å, c = 11.0290 Å
α = 90.00°, β = 90.00°, γ = 90.00°
Fractional positions:
Pr 0.0000 0.0000 0.0000
Pr 0.0000 0.0000 0.3305
Pr 0.0000 0.0000 0.6695
Zn 0.5000 0.5000 0.1596
Zn 0.5000 0.5000 0.8404
Au 0.5000 0.5000 0.5000

As for the space group: P4/mmm, No. 123. As for the distance to the lowest polymorph of the same formula: 0.000 eV/atom. For the magnetization, the calculation gives 0.00 μB per cell. For the formation enthalpy at 0 K, the calculation gives -0.46 eV/atom.



# 2
PrZn3Au9: optimized geometry, PBE-GGA.

a = 7.2585 Å, b = 7.2585 Å, c = 7.0121 Å
α = 96.72°, β = 96.72°, γ = 136.40°
Fractional positions:
Pr 0.0000 0.0000 0.0000
Zn 0.0000 0.5000 0.0000
Zn 0.5000 0.0000 0.0000
Zn 0.5000 0.5000 0.5000
Au 0.0000 0.0000 0.5000
Au 0.0386 0.6834 0.6675
Au 0.3106 0.5276 0.7867
Au 0.3166 0.9614 0.3325
Au 0.4724 0.6894 0.2133
Au 0.5276 0.3106 0.7867
Au 0.6834 0.0386 0.6675
Au 0.6894 0.4724 0.2133
Au 0.9614 0.3166 0.3325

As for the space group: C2/m, No. 12. For the magnetization, the calculation gives 0.00 μB per cell. For the formation enthalpy at 0 K, the calculation gives -0.33 eV/atom.



# 3
Pr5ZnAu2: optimized geometry, PBE-GGA.

a = 6.0271 Å, b = 6.0271 Å, c = 16.6693 Å
α = 90.00°, β = 90.00°, γ = 126.02°
Fractional positions:
Pr 0.0531 0.9469 0.6086
Pr 0.0531 0.9469 0.8914
Pr 0.3592 0.6408 0.5556
Pr 0.3592 0.6408 0.9444
Pr 0.3937 0.6063 0.2500
Pr 0.6063 0.3937 0.7500
Pr 0.6408 0.3592 0.0556
Pr 0.6408 0.3592 0.4444
Pr 0.9469 0.0531 0.1086
Pr 0.9469 0.0531 0.3914
Zn 0.2754 0.7246 0.7500
Zn 0.7246 0.2754 0.2500
Au 0.2392 0.7608 0.1047
Au 0.2392 0.7608 0.3953
Au 0.7608 0.2392 0.6047
Au 0.7608 0.2392 0.8953

As for the space group: Cmcm, No. 63. For the magnetization, the calculation gives 0.00 μB per cell. For the formation enthalpy at 0 K, the calculation gives -0.27 eV/atom.



# 4
PrZn8Au2: optimized geometry, PBE-GGA.

a = 5.2296 Å, b = 5.2296 Å, c = 9.0441 Å
α = 90.00°, β = 90.00°, γ = 90.00°
Fractional positions:
Pr 0.0000 0.0000 0.0000
Zn 0.2525 0.2525 0.2787
Zn 0.2525 0.2525 0.7213
Zn 0.2525 0.7475 0.2787
Zn 0.2525 0.7475 0.7213
Zn 0.7475 0.2525 0.2787
Zn 0.7475 0.2525 0.7213
Zn 0.7475 0.7475 0.2787
Zn 0.7475 0.7475 0.7213
Au 0.0000 0.5000 0.5000
Au 0.5000 0.0000 0.5000

As for the space group: P4/mmm, No. 123. For the magnetization, the calculation gives 0.00 μB per cell. For the formation enthalpy at 0 K, the calculation gives 0.08 eV/atom.